{
  "formula": "NdSm4DySe8",
  "functional": "PBE",
  "state": "relaxed",
  "lattice": [[8.582, 0.000, 0.000], [4.291, 7.432, 0.000], [4.291, 2.477, 7.022]],
  "species": ["Se", "Sm", "Se", "Se", "Nd", "Dy", "Sm", "Sm", "Se", "Se", "Se", "Se", "Se", "Sm"],
  "frac_coords": [[0.247, 0.247, 0.741], [0.498, 0.001, 0.501], [0.758, 0.758, 0.726], [0.764, 0.247, 0.741], [0.001, 0.001, 0.997], [0.375, 0.375, 0.876], [0.001, 0.001, 0.501], [0.001, 0.498, 0.501], [0.756, 0.756, 0.261], [0.244, 0.244, 0.267], [0.247, 0.764, 0.741], [0.756, 0.228, 0.261], [0.228, 0.756, 0.261], [0.625, 0.625, 0.124]],
  "formation_energy_uncorrected_mev_per_atom": -1726
}